Record 1
Below is a geometry-optimized Sc4Zn2GaNi structure, with properties calculated at the GGA-PBE level.

Lattice parameters (Å, degrees): 8.0898 8.0898 8.0898 33.64 33.64 33.64
Last column: nearest neighbours and their distance in Å.
Sites, in units of the cell vectors:
Sc  0.1209  0.1209  0.1209  1 Ni 2.77, 4 Zn 2.83-2.93, 3 Ga 2.90
Sc  0.3717  0.3717  0.3717  4 Zn 2.81-2.90, 3 Ni 2.84, 1 Ga 2.94
Sc  0.6283  0.6283  0.6283  4 Zn 2.81-2.90, 3 Ni 2.84, 1 Ga 2.94
Sc  0.8791  0.8791  0.8791  1 Ni 2.77, 4 Zn 2.83-2.93, 3 Ga 2.90
Zn  0.2488  0.2488  0.2488  8 Sc 2.81-2.93
Zn  0.7512  0.7512  0.7512  8 Sc 2.81-2.93
Ga  0.5000  0.5000  0.5000  8 Sc 2.90-2.94
Ni  0.0000  0.0000  0.0000  8 Sc 2.77-2.84

Computed properties:
Space-group type: R-3m, No. 166
Energy of formation in eV/f.u.: -3.75
ρ in Mg/m³: 5.0
Size of the total moment in μB/f.u.: 0.00

Record 2
Below is a geometry-optimized SrPr2TmSe4 structure, with properties calculated at the GGA-PBE level.

Lattice parameters (Å, degrees): 7.3035 4.1911 7.4277 90.00 108.77 90.00
Last column: nearest neighbours and their distance in Å.
Sites, in units of the cell vectors:
Sr  0.0000  0.0000  0.0000  6 Se 3.00-3.01
Pr  0.0000  0.5000  0.5000  6 Se 3.10
Pr  0.5000  0.0000  0.5000  6 Se 2.99-3.00
Tm  0.5000  0.5000  0.0000  6 Se 2.89-2.90
Se  0.2605  0.5000  0.2435  1 Tm 2.89, 3 Pr 2.99-3.10, 2 Sr 3.01
Se  0.2663  0.0000  0.7656  2 Tm 2.90, 3 Pr 3.00-3.10, 1 Sr 3.00
Se  0.7337  0.0000  0.2344  2 Tm 2.90, 3 Pr 3.00-3.10, 1 Sr 3.00
Se  0.7395  0.5000  0.7565  1 Tm 2.89, 3 Pr 2.99-3.10, 2 Sr 3.01

Computed properties:
Space-group type: P2/m, No. 10
Energy relative to the elements, uncorrected in eV per formula unit: -14.559
ρ in Mg/m³: 6.6
Size of the total moment in μB/f.u.: 0.00

Record 3
Below is a geometry-optimized Sr3Ga2Si2 structure, with properties calculated at the GGA-PBE level.

Lattice parameters (Å, degrees): 6.2560 6.2560 8.0450 113.99 113.99 43.06
Last column: nearest neighbours and their distance in Å.
Sites, in units of the cell vectors:
Sr  0.0000  0.0000  0.0000  6 Ga 3.38-3.42, 4 Si 3.60
Sr  0.1828  0.1828  0.6284  5 Si 3.18-3.44, 3 Ga 3.21-3.30
Sr  0.8172  0.8172  0.3716  5 Si 3.18-3.44, 3 Ga 3.21-3.30
Ga  0.3084  0.3084  0.0716  1 Si 2.50, 2 Ga 2.66
Ga  0.6916  0.6916  0.9284  1 Si 2.50, 2 Ga 2.66
Si  0.4834  0.4834  0.6451  1 Ga 2.50, 1 Si 2.53
Si  0.5166  0.5166  0.3549  1 Ga 2.50, 1 Si 2.53

Computed properties:
Space-group type: C2/m, No. 12
Energy relative to the elements, uncorrected in eV per formula unit: -3.009
ρ in Mg/m³: 3.9
Size of the total moment in μB/f.u.: 0.00

Record 4
Below is a geometry-optimized HfPd6Pt23 structure, with properties calculated at the GGA-PBE level.

Lattice parameters (Å, degrees): 9.6097 9.6097 9.6097 131.50 131.50 71.02
Last column: nearest neighbours and their distance in Å.
Sites, in units of the cell vectors:
Hf  0.0000  0.0000  0.0000  4 Pd 2.77, 8 Pt 2.84
Pd  0.2483  0.2483  0.4966  1 Hf 2.77, 11 Pt 2.79-2.82
Pd  0.2483  0.7517  0.0000  1 Hf 2.77, 11 Pt 2.79-2.82
Pd  0.2504  0.2504  0.0000  12 Pt 2.76-2.79
Pd  0.7496  0.7496  0.0000  12 Pt 2.76-2.79
Pd  0.7517  0.2483  0.0000  1 Hf 2.77, 11 Pt 2.79-2.82
Pd  0.7517  0.7517  0.5034  1 Hf 2.77, 11 Pt 2.79-2.82
Pt  0.0000  0.0000  0.5000  8 Pt 2.74-2.75, 2 Pd 2.79
Pt  0.0000  0.5000  0.0000  8 Pt 2.74-2.75, 2 Pd 2.79
Pt  0.0000  0.5000  0.5000  8 Pt 2.79, 4 Pd 2.79
Pt  0.1196  0.3725  0.7471  8 Pt 2.75-2.82, 3 Pd 2.76-2.82
Pt  0.1259  0.8715  0.2543  7 Pt 2.74-2.84, 3 Pd 2.77-2.81, 1 Hf 2.84
Pt  0.1285  0.3828  0.2543  7 Pt 2.74-2.84, 3 Pd 2.77-2.81, 1 Hf 2.84
Pt  0.1285  0.8741  0.7457  7 Pt 2.74-2.84, 3 Pd 2.77-2.81, 1 Hf 2.84
Pt  0.3725  0.1196  0.7471  8 Pt 2.75-2.82, 3 Pd 2.76-2.82
Pt  0.3725  0.6254  0.2529  8 Pt 2.75-2.82, 3 Pd 2.76-2.82
Pt  0.3746  0.6275  0.7471  8 Pt 2.75-2.82, 3 Pd 2.76-2.82
Pt  0.3828  0.1285  0.2543  7 Pt 2.74-2.84, 3 Pd 2.77-2.81, 1 Hf 2.84
Pt  0.5000  0.0000  0.0000  8 Pt 2.74-2.75, 2 Pd 2.79
Pt  0.5000  0.0000  0.5000  8 Pt 2.79, 4 Pd 2.79
Pt  0.5000  0.5000  0.0000  4 Pd 2.81, 8 Pt 2.82
Pt  0.5000  0.5000  0.5000  8 Pt 2.74-2.75, 2 Pd 2.79
Pt  0.6172  0.8715  0.7457  7 Pt 2.74-2.84, 3 Pd 2.77-2.81, 1 Hf 2.84
Pt  0.6254  0.3725  0.2529  8 Pt 2.75-2.82, 3 Pd 2.76-2.82
Pt  0.6275  0.3746  0.7471  8 Pt 2.75-2.82, 3 Pd 2.76-2.82
Pt  0.6275  0.8804  0.2529  8 Pt 2.75-2.82, 3 Pd 2.76-2.82
Pt  0.8715  0.1259  0.2543  7 Pt 2.74-2.84, 3 Pd 2.77-2.81, 1 Hf 2.84
Pt  0.8715  0.6172  0.7457  7 Pt 2.74-2.84, 3 Pd 2.77-2.81, 1 Hf 2.84
Pt  0.8741  0.1285  0.7457  7 Pt 2.74-2.84, 3 Pd 2.77-2.81, 1 Hf 2.84
Pt  0.8804  0.6275  0.2529  8 Pt 2.75-2.82, 3 Pd 2.76-2.82

Computed properties:
Space-group type: I4/mmm, No. 139
Energy of formation in eV/f.u.: -4.18
ρ in Mg/m³: 18.1
Size of the total moment in μB/f.u.: 0.00

Record 5
Below is a geometry-optimized Sr2SbIr structure, with properties calculated at the GGA-PBE level.

Lattice parameters (Å, degrees): 4.6706 5.9737 5.9737 47.70 90.00 90.00
Last column: nearest neighbours and their distance in Å.
Sites, in units of the cell vectors:
Sr  0.0000  0.0000  0.0000  3 Ir 3.26-3.27, 4 Sb 3.51
Sr  0.5000  0.2883  0.2883  3 Sb 3.23-3.32, 4 Ir 3.49
Sb  0.5000  0.5921  0.5921  2 Ir 2.63
Ir  0.0000  0.7020  0.7020  2 Sb 2.63

Computed properties:
Space-group type: Amm2, No. 38
Energy relative to the elements, uncorrected in eV per formula unit: -2.087
ρ in Mg/m³: 6.6
Size of the total moment in μB/f.u.: 0.00

Record 6
Below is a geometry-optimized Sc2MnPb structure, with properties calculated at the GGA-PBE level.

Lattice parameters (Å, degrees): 3.3647 3.4393 7.2686 90.00 90.00 90.00
Last column: nearest neighbours and their distance in Å.
Sites, in units of the cell vectors:
Sc  0.0000  0.0000  0.2144  4 Mn 2.87, 1 Sc 3.12, 4 Pb 3.18
Sc  0.0000  0.0000  0.7856  4 Mn 2.87, 1 Sc 3.12, 4 Pb 3.18
Mn  0.5000  0.5000  0.0000  8 Sc 2.87
Pb  0.5000  0.5000  0.5000  8 Sc 3.18, 4 Pb 3.36-3.44

Computed properties:
Space-group type: Pmmm, No. 47
Energy of formation in eV/f.u.: -0.59
ρ in Mg/m³: 6.9
Size of the total moment in μB/f.u.: 2.15

The calculation returns the following calculated volume values, one per record and in order: 18.09, 26.91, 27.63, 16.25, 30.82, 21.03 Å³ per atom.